[1]
Below is a relaxed structure of PmNd2Al2, with properties calculated at the PBE level.

The structure belongs to space group Immm (No. 71); the cell edges are 4.996, 6.942 and 8.055 Å and the angles 90.00°, 90.00° and 90.00°. The asymmetric unit holds Pm at (0.000, 0.000, 0.000), Nd at (0.000, 0.500, 0.198) and Al at (0.000, 0.193, 0.500).

The total energy comes out at -4.656 eV per atom.


[2]
Below is a relaxed structure of Pm8Nd2Al, with properties calculated at the PBE level.

The structure belongs to space group C2/m (No. 12); the cell edges are 17.827, 5.431 and 8.110 Å and the angles 90.00°, 111.70° and 90.00°. The asymmetric unit holds Pm at (0.020, 0.000, 0.277), Pm at (0.095, 0.500, 0.921), Pm at (0.163, 0.500, 0.421), Pm at (0.174, 0.000, 0.723), Nd at (0.190, 0.000, 0.154) and Al at (0.000, 0.500, 0.500).

The total energy comes out at -4.628 eV per atom.


[3]
Below is a relaxed structure of PmNd2Al9, with properties calculated at the PBE level.

The structure belongs to space group R-3m (No. 166, hexagonal axes); the cell edges are 5.6733, 5.6733 and 26.5544 Å and the angles 90.00°, 90.00° and 120.00°. The asymmetric unit holds Pm at (0.0000, 0.0000, 0.0000), Nd at (0.0000, 0.0000, 0.1415), Al at (0.0000, 0.0000, 0.3353), Al at (0.0000, 0.0000, 0.5000) and Al at (0.0073, 0.5037, 0.9176).

The total energy comes out at -4.376 eV per atom.


[4]
Below is a relaxed structure of Pm2NdAl3, with properties calculated at the PBE level.

The structure belongs to space group P4/mmm (No. 123); the cell edges are 3.707, 3.707 and 11.139 Å and the angles 90.00°, 90.00° and 90.00°. The asymmetric unit holds Pm at (0.000, 0.000, 0.166), Nd at (0.000, 0.000, 0.500), Al at (0.500, 0.500, 0.000) and Al at (0.500, 0.500, 0.331).

The total energy comes out at -4.612 eV per atom.


[5]
Below is a relaxed structure of PmNdAl, with properties calculated at the PBE level.

The structure belongs to space group P3m1 (No. 156); the cell edges are 5.1569, 5.1569 and 3.7083 Å and the angles 90.00°, 90.00° and 120.00°. The asymmetric unit holds Pm at (0.0000, 0.0000, 0.0000), Nd at (0.6667, 0.3333, 0.5834) and Al at (0.3333, 0.6667, 0.2843).

For the relative energy among the computed polymorphs, the calculation gives 0.065 eV per atom. The total energy comes out at -4.558 eV per atom.


[6]
Below is a relaxed structure of Pm4Nd3Al4, with properties calculated at the PBE level.

The structure belongs to space group Immm (No. 71); the cell edges are 5.233, 6.941 and 17.602 Å and the angles 90.00°, 90.00° and 90.00°. The asymmetric unit holds Pm at (0.000, 0.233, 0.178), Nd at (0.000, 0.000, 0.401), Nd at (0.000, 0.500, 0.500), Al at (0.000, 0.303, 0.000) and Al at (0.000, 0.500, 0.326).

The total energy comes out at -4.561 eV per atom.


[7]
Below is a relaxed structure of Pm8Nd5Al, with properties calculated at the PBE level.

The structure belongs to space group I-4 (No. 82); the cell edges are 10.686, 10.686 and 8.456 Å and the angles 90.00°, 90.00° and 90.00°. The asymmetric unit holds Pm at (0.001, 0.341, 0.425), Pm at (0.195, 0.709, 0.749), Nd at (0.000, 0.000, 0.500), Nd at (0.004, 0.808, 0.095) and Al at (0.000, 0.500, 0.750).

The total energy comes out at -4.560 eV per atom.


[8]
Below is a relaxed structure of PmNdAl, with properties calculated at the PBE level.

The structure belongs to space group F-43m (No. 216); the cell edges are 7.318, 7.318 and 7.318 Å and the angles 90.00°, 90.00° and 90.00°. The asymmetric unit holds Pm at (0.000, 0.000, 0.000), Nd at (0.000, 0.000, 0.500) and Al at (0.250, 0.250, 0.250).

For the relative energy among the computed polymorphs, the calculation gives 0.180 eV per atom. The total energy comes out at -4.444 eV per atom.


[9]
Below is a relaxed structure of Pm4Nd3Al, with properties calculated at the PBE level.

The structure belongs to space group Pmmm (No. 47); the cell edges are 3.645, 4.851 and 14.445 Å and the angles 90.00°, 90.00° and 90.00°. The asymmetric unit holds Pm at (0.000, 0.000, 0.108), Pm at (0.000, 0.000, 0.368), Nd at (0.500, 0.500, 0.244), Nd at (0.500, 0.500, 0.500) and Al at (0.500, 0.500, 0.000).

The total energy comes out at -4.674 eV per atom.


[10]
Below is a relaxed structure of PmNd4Al2, with properties calculated at the PBE level.

The structure belongs to space group R-3m (No. 166, hexagonal axes); the cell edges are 5.1740, 5.1740 and 30.9245 Å and the angles 90.00°, 90.00° and 120.00°. The asymmetric unit holds Pm at (0.0000, 0.0000, 0.0000), Nd at (0.0000, 0.0000, 0.2024), Nd at (0.0000, 0.0000, 0.3968) and Al at (0.0000, 0.0000, 0.0993).

For the relative energy among the computed polymorphs, the calculation gives 0.268 eV per atom. The total energy comes out at -4.376 eV per atom.


[11]
Below is a relaxed structure of Pm9Nd4Al11, with properties calculated at the PBE level.

The structure belongs to space group Cmmm (No. 65); the cell edges are 15.781, 22.739 and 3.489 Å and the angles 90.00°, 90.00° and 90.00°. The asymmetric unit holds Pm at (0.000, 0.000, 0.000), Pm at (0.107, 0.403, 0.000), Pm at (0.113, 0.224, 0.000), Nd at (0.178, 0.083, 0.000), Al at (0.000, 0.121, 0.500), Al at (0.000, 0.312, 0.500), Al at (0.000, 0.500, 0.500), Al at (0.198, 0.500, 0.500) and Al at (0.226, 0.312, 0.500).

The total energy comes out at -4.588 eV per atom.


[12]
Below is a relaxed structure of Pm12Nd6Al, with properties calculated at the PBE level.

The structure belongs to space group R-3 (No. 148, hexagonal axes); the cell edges are 12.2511, 12.2511 and 14.8609 Å and the angles 90.00°, 90.00° and 120.00°. The asymmetric unit holds Pm at (0.0301, 0.1776, 0.3118), Pm at (0.0670, 0.8637, 0.9122), Nd at (0.0328, 0.4336, 0.1959) and Al at (0.0000, 0.0000, 0.5000).

The total energy comes out at -4.619 eV per atom.


[13]
Below is a relaxed structure of PmNd9Al2, with properties calculated at the PBE level.

The structure belongs to space group P4/mmm (No. 123); the cell edges are 4.959, 4.959 and 15.272 Å and the angles 90.00°, 90.00° and 90.00°. The asymmetric unit holds Pm at (0.000, 0.000, 0.000), Nd at (0.000, 0.500, 0.179), Nd at (0.000, 0.500, 0.500), Nd at (0.500, 0.500, 0.000), Nd at (0.500, 0.500, 0.342) and Al at (0.000, 0.000, 0.340).

The total energy comes out at -4.689 eV per atom.


[14]
Below is a relaxed structure of Pm5Nd8Al, with properties calculated at the PBE level.

The structure belongs to space group I-4 (No. 82); the cell edges are 10.387, 10.387 and 8.978 Å and the angles 90.00°, 90.00° and 90.00°. The asymmetric unit holds Pm at (0.000, 0.000, 0.000), Pm at (0.056, 0.843, 0.635), Nd at (0.022, 0.659, 0.938), Nd at (0.162, 0.742, 0.285) and Al at (0.000, 0.500, 0.250).

The total energy comes out at -4.525 eV per atom.


[15]
Below is a relaxed structure of Pm8Nd6Al, with properties calculated at the PBE level.

The structure belongs to space group P-3 (No. 147); the cell edges are 9.5238, 9.5238 and 6.5175 Å and the angles 90.00°, 90.00° and 120.00°. The asymmetric unit holds Pm at (0.0424, 0.2610, 0.1925), Pm at (0.3333, 0.6667, 0.1565), Nd at (0.0932, 0.4498, 0.6781) and Al at (0.0000, 0.0000, 0.5000).

The total energy comes out at -4.615 eV per atom.


[16]
Below is a relaxed structure of Pm14NdAl, with properties calculated at the PBE level.

The structure belongs to space group Amm2 (No. 38); the cell edges are 11.550, 7.300 and 12.633 Å and the angles 90.00°, 90.00° and 90.00°. The asymmetric unit holds Pm at (0.000, 0.000, 0.000), Pm at (0.000, 0.000, 0.496), Pm at (0.000, 0.245, 0.244), Pm at (0.239, 0.000, 0.829), Pm at (0.266, 0.243, 0.577), Pm at (0.267, 0.000, 0.334), Pm at (0.500, 0.237, 0.750), Nd at (0.500, 0.000, 0.987) and Al at (0.500, 0.000, 0.496).

The total energy comes out at -4.694 eV per atom.


[17]
Below is a relaxed structure of Pm4NdAl2, with properties calculated at the PBE level.

The structure belongs to space group I4/mmm (No. 139); the cell edges are 5.829, 5.829 and 12.729 Å and the angles 90.00°, 90.00° and 90.00°. The asymmetric unit holds Pm at (0.000, 0.500, 0.000), Pm at (0.000, 0.500, 0.250), Nd at (0.000, 0.000, 0.000) and Al at (0.000, 0.000, 0.387).

For the relative energy among the computed polymorphs, the calculation gives 0.210 eV per atom. The total energy comes out at -4.261 eV per atom.


[18]
Below is a relaxed structure of Pm2NdAl, with properties calculated at the PBE level.

The structure belongs to space group P4/mmm (No. 123); the cell edges are 4.880, 4.880 and 4.868 Å and the angles 90.00°, 90.00° and 90.00°. The asymmetric unit holds Pm at (0.000, 0.500, 0.000), Nd at (0.000, 0.000, 0.500) and Al at (0.500, 0.500, 0.500).

For the relative energy among the computed polymorphs, the calculation gives 0.000 eV per atom. The total energy comes out at -4.671 eV per atom.


[19]
Below is a relaxed structure of Pm5NdAl4, with properties calculated at the PBE level.

The structure belongs to space group P4/mmm (No. 123); the cell edges are 3.669, 3.669 and 20.313 Å and the angles 90.00°, 90.00° and 90.00°. The asymmetric unit holds Pm at (0.000, 0.000, 0.000), Pm at (0.000, 0.000, 0.185), Pm at (0.000, 0.000, 0.369), Nd at (0.500, 0.500, 0.500), Al at (0.500, 0.500, 0.092) and Al at (0.500, 0.500, 0.278).

The total energy comes out at -4.629 eV per atom.


[20]
Below is a relaxed structure of Pm3NdAl2, with properties calculated at the PBE level.

The structure belongs to space group P2/m (No. 10); the cell edges are 4.914, 4.522 and 7.894 Å and the angles 90.00°, 106.82° and 90.00°. The asymmetric unit holds Pm at (0.000, 0.000, 0.000), Pm at (0.328, 0.000, 0.649), Nd at (0.500, 0.500, 0.000) and Al at (0.152, 0.500, 0.322).

For the relative energy among the computed polymorphs, the calculation gives 0.082 eV per atom. The total energy comes out at -4.587 eV per atom.


[21]
Below is a relaxed structure of Pm4NdAl5, with properties calculated at the PBE level.

The structure belongs to space group P4/mmm (No. 123); the cell edges are 3.709, 3.709 and 18.491 Å and the angles 90.00°, 90.00° and 90.00°. The asymmetric unit holds Pm at (0.000, 0.000, 0.100), Pm at (0.000, 0.000, 0.299), Nd at (0.000, 0.000, 0.500), Al at (0.500, 0.500, 0.000), Al at (0.500, 0.500, 0.199) and Al at (0.500, 0.500, 0.398).

The total energy comes out at -4.614 eV per atom.


[22]
Below is a relaxed structure of Pm2Nd4Al, with properties calculated at the PBE level.

The structure belongs to space group R-3m (No. 166, hexagonal axes); the cell edges are 3.6985, 3.6985 and 59.2213 Å and the angles 90.00°, 90.00° and 120.00°. The asymmetric unit holds Pm at (0.0000, 0.0000, 0.1918), Nd at (0.0000, 0.0000, 0.0915), Nd at (0.0000, 0.0000, 0.2945) and Al at (0.0000, 0.0000, 0.0000).

For the relative energy among the computed polymorphs, the calculation gives 0.000 eV per atom. The total energy comes out at -4.625 eV per atom.